## Tm4Ga3Au (PBE-GGA)

Data for a geometry-optimized Tm4Ga3Au structure.

The space group is Pmm2 (No. 25) and the conventional cell measures 3.9341, 4.2655 and 10.9803 Å, with angles of 90.00, 90.00 and 90.00 degrees. The asymmetric unit holds Tm at (0.0000, 0.0000, 0.0000), Tm at (0.0000, 0.5000, 0.2809), Tm at (0.5000, 0.0000, 0.4948), Tm at (0.5000, 0.5000, 0.7852), Ga at (0.0000, 0.0000, 0.7163), Ga at (0.0000, 0.5000, 0.5643), Ga at (0.5000, 0.5000, 0.0549) and Au at (0.5000, 0.0000, 0.2225).

The formation enthalpy at 0 K comes out at -5.34 eV per formula unit. As for the crystal system: orthorhombic.


## Tm2Ga3Au5 (PBE-GGA)

Data for a geometry-optimized Tm2Ga3Au5 structure.

The space group is Cmc2_1 (No. 36) and the conventional cell measures 4.4479, 24.7874 and 7.0520 Å, with angles of 90.00, 90.00 and 90.00 degrees. The asymmetric unit holds Tm at (0.0000, 0.0175, 0.0000), Tm at (0.0000, 0.3245, 0.9800), Ga at (0.0000, 0.1034, 0.3107), Ga at (0.0000, 0.2752, 0.4469), Ga at (0.0000, 0.4483, 0.1940), Au at (0.0000, 0.1056, 0.6933), Au at (0.0000, 0.1988, 0.1666), Au at (0.0000, 0.2168, 0.7467), Au at (0.0000, 0.3810, 0.4908) and Au at (0.0000, 0.4518, 0.8072).

The formation enthalpy at 0 K comes out at -5.73 eV per formula unit. The polymorph energy (0 for the lowest one) is 0.00 eV/f.u. As for the crystal system: orthorhombic.


## TmGa3Au3 (PBE-GGA)

Data for a geometry-optimized TmGa3Au3 structure.

The space group is R-3 (No. 148, hexagonal axes) and the conventional cell measures 8.0300, 8.0300 and 16.5651 Å, with angles of 90.00, 90.00 and 120.00 degrees. The asymmetric unit holds Tm at (0.0000, 0.0000, 0.1659), Ga at (0.9996, 0.3098, 0.4090) and Au at (0.9997, 0.3447, 0.5850).

The formation enthalpy at 0 K comes out at -2.73 eV per formula unit. The polymorph energy (0 for the lowest one) is 0.00 eV/f.u. As for the crystal system: trigonal.


## Tm6Ga2Au (PBE-GGA)

Data for a geometry-optimized Tm6Ga2Au structure.

The space group is Immm (No. 71) and the conventional cell measures 9.4562, 9.4620 and 10.1598 Å, with angles of 90.00, 90.00 and 90.00 degrees. The asymmetric unit holds Tm at (0.0000, 0.2060, 0.1741), Tm at (0.1793, 0.2291, 0.5000), Tm at (0.1941, 0.5000, 0.2496), Ga at (0.0000, 0.0000, 0.3768), Ga at (0.1465, 0.0000, 0.0000), Au at (0.0000, 0.5000, 0.0000) and Au at (0.0000, 0.5000, 0.5000).

The formation enthalpy at 0 K comes out at -4.39 eV per formula unit. The polymorph energy (0 for the lowest one) is 0.00 eV/f.u. As for the crystal system: orthorhombic.


## Tm2Ga5Au (PBE-GGA)

Data for a geometry-optimized Tm2Ga5Au structure.

The space group is I4mm (No. 107) and the conventional cell measures 6.0496, 6.0496 and 8.3581 Å, with angles of 90.00, 90.00 and 90.00 degrees. The asymmetric unit holds Tm at (0.0000, 0.5000, 0.0000), Ga at (0.0000, 0.0000, 0.0011), Ga at (0.2493, 0.2493, 0.7499) and Au at (0.0000, 0.0000, 0.4984).

The formation enthalpy at 0 K comes out at -4.26 eV per formula unit. As for the crystal system: tetragonal.


## Tm3Ga4Au4 (PBE-GGA)

Data for a geometry-optimized Tm3Ga4Au4 structure.

The space group is P-1 (No. 2) and the conventional cell measures 3.5038, 4.4869 and 14.3341 Å, with angles of 98.95, 96.93 and 90.02 degrees. The asymmetric unit holds Tm at (0.0000, 0.0000, 0.0000), Tm at (0.1418, 0.6400, 0.2836), Ga at (0.2600, 0.2620, 0.5218), Ga at (0.4060, 0.9068, 0.8118), Au at (0.3146, 0.8161, 0.6282) and Au at (0.4523, 0.4511, 0.9013).

The formation enthalpy at 0 K comes out at -7.50 eV per formula unit. The polymorph energy (0 for the lowest one) is 0.00 eV/f.u. As for the crystal system: triclinic.


## Tm2Ga5Au3 (PBE-GGA)

Data for a geometry-optimized Tm2Ga5Au3 structure.

The space group is Ibam (No. 72) and the conventional cell measures 11.3886, 11.6257 and 5.9048 Å, with angles of 90.00, 90.00 and 90.00 degrees. The asymmetric unit holds Tm at (0.2452, 0.1223, 0.0000), Ga at (0.0000, 0.2513, 0.2500), Ga at (0.0000, 0.5000, 0.2500), Ga at (0.1385, 0.1265, 0.5000), Au at (0.0000, 0.0000, 0.2500) and Au at (0.1443, 0.3739, 0.0000).

The formation enthalpy at 0 K comes out at -5.34 eV per formula unit. The polymorph energy (0 for the lowest one) is 0.41 eV/f.u. As for the crystal system: orthorhombic.


## TmGa2Au (PBE-GGA)

Data for a geometry-optimized TmGa2Au structure.

The space group is Fm-3m (No. 225) and the conventional cell measures 6.7519, 6.7519 and 6.7519 Å, with angles of 90.00, 90.00 and 90.00 degrees. The asymmetric unit holds Tm at (0.0000, 0.0000, 0.0000), Ga at (0.2500, 0.2500, 0.2500) and Au at (0.0000, 0.0000, 0.5000).

The formation enthalpy at 0 K comes out at -1.74 eV per formula unit. As for the crystal system: cubic.


## TmGa2Au3 (PBE-GGA)

Data for a geometry-optimized TmGa2Au3 structure.

The space group is Pmmn (No. 59, origin choice 2) and the conventional cell measures 5.1816, 14.1726 and 3.4842 Å, with angles of 90.00, 90.00 and 90.00 degrees. The asymmetric unit holds Tm at (0.2500, 0.2500, 0.2459), Ga at (0.2500, 0.5666, 0.2454), Au at (0.2500, 0.0824, 0.7463) and Au at (0.2500, 0.7500, 0.2532).

The formation enthalpy at 0 K comes out at -2.40 eV per formula unit. The polymorph energy (0 for the lowest one) is 0.50 eV/f.u. As for the crystal system: orthorhombic.


## Tm2GaAu3 (PBE-GGA)

Data for a geometry-optimized Tm2GaAu3 structure.

The space group is Fmmm (No. 69) and the conventional cell measures 6.7479, 9.2215 and 16.0406 Å, with angles of 90.00, 90.00 and 90.00 degrees. The asymmetric unit holds Tm at (0.2448, 0.0000, 0.0000), Tm at (0.2500, 0.2500, 0.2500), Ga at (0.0000, 0.0000, 0.3332), Au at (0.0000, 0.0000, 0.1727) and Au at (0.0000, 0.2399, 0.4139).

The formation enthalpy at 0 K comes out at -4.69 eV per formula unit. As for the crystal system: orthorhombic.


## Tm2Ga5Au3 (PBE-GGA)

Data for a geometry-optimized Tm2Ga5Au3 structure.

The space group is Cmc2_1 (No. 36) and the conventional cell measures 4.3699, 24.9701 and 7.0370 Å, with angles of 90.00, 90.00 and 90.00 degrees. The asymmetric unit holds Tm at (0.0000, 0.0177, 0.0000), Tm at (0.0000, 0.3259, 0.9840), Ga at (0.0000, 0.1040, 0.6545), Ga at (0.0000, 0.2056, 0.7699), Ga at (0.0000, 0.2075, 0.1816), Ga at (0.0000, 0.3824, 0.5141), Ga at (0.0000, 0.4500, 0.8277), Au at (0.0000, 0.1071, 0.2681), Au at (0.0000, 0.2766, 0.4747) and Au at (0.0000, 0.4491, 0.2157).

The formation enthalpy at 0 K comes out at -5.75 eV per formula unit. The polymorph energy (0 for the lowest one) is 0.00 eV/f.u. As for the crystal system: orthorhombic.


## Tm3GaAu (PBE-GGA)

Data for a geometry-optimized Tm3GaAu structure.

The space group is Pmmn (No. 59, origin choice 2) and the conventional cell measures 4.4446, 6.7318 and 8.6570 Å, with angles of 90.00, 90.00 and 90.00 degrees. The asymmetric unit holds Tm at (0.2500, 0.0077, 0.1905), Tm at (0.2500, 0.2500, 0.5567), Ga at (0.2500, 0.7500, 0.6512) and Au at (0.2500, 0.2500, 0.9076).

The formation enthalpy at 0 K comes out at -2.55 eV per formula unit. As for the crystal system: orthorhombic.


## Tm4Ga5Au2 (PBE-GGA)

Data for a geometry-optimized Tm4Ga5Au2 structure.

The space group is P2/m (No. 10) and the conventional cell measures 7.6134, 3.4990 and 8.9973 Å, with angles of 90.00, 92.28 and 90.00 degrees. The asymmetric unit holds Tm at (0.2324, 0.0000, 0.1353), Tm at (0.2427, 0.0000, 0.6231), Ga at (0.1129, 0.5000, 0.8841), Ga at (0.4357, 0.5000, 0.3611), Ga at (0.5000, 0.5000, 0.0000) and Au at (0.0867, 0.5000, 0.3674).

The formation enthalpy at 0 K comes out at -6.63 eV per formula unit. As for the crystal system: monoclinic.


## Tm2Ga3Au (PBE-GGA)

Data for a geometry-optimized Tm2Ga3Au structure.

The space group is Fmmm (No. 69) and the conventional cell measures 7.1662, 8.8220 and 15.3762 Å, with angles of 90.00, 90.00 and 90.00 degrees. The asymmetric unit holds Tm at (0.2434, 0.0000, 0.0000), Tm at (0.2500, 0.2500, 0.2500), Ga at (0.0000, 0.0000, 0.3371), Ga at (0.0000, 0.2477, 0.4180) and Au at (0.0000, 0.0000, 0.1692).

The formation enthalpy at 0 K comes out at -4.15 eV per formula unit. As for the crystal system: orthorhombic.


## TmGaAu4 (PBE-GGA)

Data for a geometry-optimized TmGaAu4 structure.

The space group is P2/m (No. 10) and the conventional cell measures 3.6890, 3.6723 and 8.7608 Å, with angles of 90.00, 96.83 and 90.00 degrees. The asymmetric unit holds Tm at (0.0000, 0.0000, 0.0000), Ga at (0.5000, 0.5000, 0.5000), Au at (0.0806, 0.0000, 0.3425) and Au at (0.4501, 0.5000, 0.8262).

The formation enthalpy at 0 K comes out at -2.87 eV per formula unit. As for the crystal system: monoclinic.


## TmZn2GaAu5 (PBE-GGA)

Data for a geometry-optimized TmZn2GaAu5 structure.

The space group is Immm (No. 71) and the conventional cell measures 4.7833, 5.6709 and 13.9559 Å, with angles of 90.00, 90.00 and 90.00 degrees. The asymmetric unit holds Tm at (0.0000, 0.0000, 0.0000), Zn at (0.0000, 0.5000, 0.1868), Ga at (0.0000, 0.0000, 0.5000), Au at (0.0000, 0.2594, 0.3465) and Au at (0.0000, 0.5000, 0.0000).

The formation enthalpy at 0 K comes out at -1.54 eV per formula unit. As for the crystal system: orthorhombic.


## Tm2ZnGa3Au4 (PBE-GGA)

Data for a geometry-optimized Tm2ZnGa3Au4 structure.

The space group is P-4m2 (No. 115) and the conventional cell measures 4.2186, 4.2186 and 11.1088 Å, with angles of 90.00, 90.00 and 90.00 degrees. The asymmetric unit holds Tm at (0.0000, 0.5000, 0.2482), Zn at (0.0000, 0.0000, 0.5000), Ga at (0.0000, 0.5000, 0.8636), Ga at (0.5000, 0.5000, 0.5000), Au at (0.0000, 0.0000, 0.0000), Au at (0.0000, 0.5000, 0.6418) and Au at (0.5000, 0.5000, 0.0000).

The formation enthalpy at 0 K comes out at -5.30 eV per formula unit. As for the crystal system: tetragonal.


## Tm2ZnGa4Au3 (PBE-GGA)

Data for a geometry-optimized Tm2ZnGa4Au3 structure.

The space group is P-4m2 (No. 115) and the conventional cell measures 4.1494, 4.1494 and 11.2473 Å, with angles of 90.00, 90.00 and 90.00 degrees. The asymmetric unit holds Tm at (0.0000, 0.5000, 0.2413), Zn at (0.5000, 0.5000, 0.0000), Ga at (0.0000, 0.0000, 0.5000), Ga at (0.0000, 0.5000, 0.8630), Ga at (0.5000, 0.5000, 0.5000), Au at (0.0000, 0.0000, 0.0000) and Au at (0.0000, 0.5000, 0.6423).

The formation enthalpy at 0 K comes out at -5.26 eV per formula unit. As for the crystal system: tetragonal.


## TmZrGaAu (PBE-GGA)

Data for a geometry-optimized TmZrGaAu structure.

The space group is F-43m (No. 216) and the conventional cell measures 6.9644, 6.9644 and 6.9644 Å, with angles of 90.00, 90.00 and 90.00 degrees. The asymmetric unit holds Tm at (0.0000, 0.0000, 0.0000), Zr at (0.0000, 0.0000, 0.5000), Ga at (0.2500, 0.2500, 0.2500) and Au at (0.2500, 0.2500, 0.7500).

The formation enthalpy at 0 K comes out at -2.12 eV per formula unit. As for the crystal system: cubic.


## U4Ga12Au (PBE-GGA)

Data for a geometry-optimized U4Ga12Au structure.

The space group is Im-3m (No. 229) and the conventional cell measures 8.6569, 8.6569 and 8.6569 Å, with angles of 90.00, 90.00 and 90.00 degrees. The asymmetric unit holds U at (0.2500, 0.2500, 0.2500), Ga at (0.0000, 0.0000, 0.3016), Ga at (0.0000, 0.2500, 0.5000) and Au at (0.0000, 0.0000, 0.0000).

The formation enthalpy at 0 K comes out at -4.01 eV per formula unit. As for the crystal system: cubic.